1.
The following is a SCAN calculation of a PBEsol-optimized structure of TlHg2As, from Alexandria.

a = 3.382 Å, b = 5.446 Å, c = 6.037 Å
α = 116.81°, β = 106.27°, γ = 90.00°
Atoms (fractional coordinates):
As 0.000 0.500 0.000
Tl 0.500 0.000 0.000
Hg 0.730 0.730 0.461
Hg 0.270 0.270 0.539

Values from the calculation:
**Total moment**: 0.00 μB/f.u.
**Space-group type**: Immm
**Calculated formation energy**: 0.20 eV/atom
**Offset from the most stable computed form**: 0.000 eV per atom
**E_tot**: -57.0205 eV/atom
**V**: 94.23 Å³/f.u.


2.
The following is a SCAN calculation of a PBEsol-optimized structure of Tl2Hg2As, from Alexandria.

a = 4.912 Å, b = 7.248 Å, c = 7.248 Å
α = 90.00°, β = 90.00°, γ = 90.00°
Atoms (fractional coordinates):
As 0.000 0.000 0.000
As 0.000 0.500 0.500
Tl 0.500 0.173 0.673
Tl 0.500 0.673 0.827
Tl 0.500 0.827 0.327
Tl 0.500 0.327 0.173
Hg 0.000 0.360 0.860
Hg 0.000 0.860 0.640
Hg 0.000 0.640 0.140
Hg 0.000 0.140 0.360

Values from the calculation:
**Total moment**: 0.00 μB/f.u.
**Space-group type**: P4/mbm
**Calculated formation energy**: 0.08 eV/atom
**E_tot**: -60.1721 eV/atom
**V**: 129.02 Å³/f.u.


3.
The following is a SCAN calculation of a PBEsol-optimized structure of TlHg2As, from Alexandria.

a = 5.010 Å, b = 5.010 Å, c = 5.138 Å
α = 119.18°, β = 119.18°, γ = 90.00°
Atoms (fractional coordinates):
As 0.250 0.750 0.500
Tl 0.500 0.500 0.000
Hg 0.000 0.000 0.000
Hg 0.750 0.250 0.500

Values from the calculation:
**Total moment**: 0.00 μB/f.u.
**Space-group type**: I-4m2
**Calculated formation energy**: 0.21 eV/atom
**Offset from the most stable computed form**: 0.007 eV per atom
**E_tot**: -57.0134 eV/atom
**V**: 93.40 Å³/f.u.


4.
The following is a SCAN calculation of a PBEsol-optimized structure of TlHgAs2, from Alexandria.

a = 3.720 Å, b = 4.694 Å, c = 5.896 Å
α = 113.46°, β = 108.39°, γ = 90.00°
Atoms (fractional coordinates):
As 0.766 0.766 0.532
As 0.234 0.234 0.468
Tl 0.000 0.500 0.000
Hg 0.500 0.000 0.000

Values from the calculation:
**Total moment**: 0.00 μB/f.u.
**Space-group type**: Immm
**Calculated formation energy**: 0.38 eV/atom
**Offset from the most stable computed form**: 0.362 eV per atom
**E_tot**: -44.8501 eV/atom
**V**: 88.70 Å³/f.u.


5.
The following is a SCAN calculation of a PBEsol-optimized structure of TlHgAs2, from Alexandria.

a = 4.993 Å, b = 4.993 Å, c = 4.993 Å
α = 60.00°, β = 60.00°, γ = 60.00°
Atoms (fractional coordinates):
As 0.250 0.250 0.250
As 0.750 0.750 0.750
Tl 0.500 0.500 0.500
Hg 0.000 0.000 0.000

Values from the calculation:
**Total moment**: 0.00 μB/f.u.
**Space-group type**: Fm-3m
**Calculated formation energy**: 0.48 eV/atom
**Offset from the most stable computed form**: 0.469 eV per atom
**E_tot**: -44.7429 eV/atom
**V**: 88.03 Å³/f.u.


6.
The following is a SCAN calculation of a PBEsol-optimized structure of Tl3HgAs, from Alexandria.

a = 5.489 Å, b = 5.489 Å, c = 5.489 Å
α = 90.00°, β = 90.00°, γ = 90.00°
Each line ends with the local moment (μB).
Atoms (fractional coordinates):
As 0.500 0.500 0.500  -0.45
Tl 0.000 0.500 0.000  0.01
Tl 0.000 0.000 0.500  0.01
Tl 0.500 0.000 0.000  0.01
Hg 0.000 0.000 0.000  0.00

Values from the calculation:
**Total moment**: 0.84 μB/f.u.
**Space-group type**: Pm-3m
**Calculated formation energy**: 0.53 eV/atom
**Offset from the most stable computed form**: 0.251 eV per atom
**E_tot**: -60.5576 eV/atom
**V**: 165.41 Å³/f.u.


Among the records above, which one has the highest V?
Tl3HgAs